Record 1
TbHo | PBE-GGA | optimized geometry

```
data_TbHo
_chemical_formula_sum 'Tb1 Ho1'
_space_group_name_H-M_alt 'P 1'
_space_group_IT_number 1
_cell_length_a 4.888
_cell_length_b 4.888
_cell_length_c 4.888
_cell_angle_alpha 60.00
_cell_angle_beta 60.00
_cell_angle_gamma 60.00
loop_
_space_group_symop_operation_xyz
'x,y,z'
loop_
_atom_site_label
_atom_site_type_symbol
_atom_site_fract_x
_atom_site_fract_y
_atom_site_fract_z
Tb1 Tb 0.000 0.000 0.000
Ho1 Ho 0.250 0.250 0.250
```

- DFT formation energy: 1.94 eV per atom
- Energy above the most stable polymorph in this dataset: 186.4 kJ per mole of atoms

---

Record 2
TbHo | PBE-GGA | optimized geometry

```
data_TbHo
_chemical_formula_sum 'Tb2 Ho2'
_space_group_name_H-M_alt 'P 1'
_space_group_IT_number 1
_cell_length_a 4.093
_cell_length_b 4.093
_cell_length_c 8.257
_cell_angle_alpha 90.00
_cell_angle_beta 90.00
_cell_angle_gamma 120.00
loop_
_space_group_symop_operation_xyz
'x,y,z'
loop_
_atom_site_label
_atom_site_type_symbol
_atom_site_fract_x
_atom_site_fract_y
_atom_site_fract_z
Tb1 Tb 0.000 0.000 0.000
Tb2 Tb 0.000 0.000 0.500
Ho1 Ho 0.333 0.667 0.250
Ho2 Ho 0.667 0.333 0.750
```

- DFT formation energy: 0.59 eV per atom
- Energy above the most stable polymorph in this dataset: 55.9 kJ per mole of atoms

---

Record 3
Tb2Ho | PBE-GGA | optimized geometry

```
data_Tb2Ho
_chemical_formula_sum 'Tb2 Ho1'
_space_group_name_H-M_alt 'P 1'
_space_group_IT_number 1
_cell_length_a 5.405
_cell_length_b 5.405
_cell_length_c 5.405
_cell_angle_alpha 60.00
_cell_angle_beta 60.00
_cell_angle_gamma 60.00
loop_
_space_group_symop_operation_xyz
'x,y,z'
loop_
_atom_site_label
_atom_site_type_symbol
_atom_site_fract_x
_atom_site_fract_y
_atom_site_fract_z
Tb1 Tb 0.250 0.250 0.250
Tb2 Tb 0.750 0.750 0.750
Ho1 Ho 0.000 0.000 0.000
```

- DFT formation energy: 0.72 eV per atom
- Energy above the most stable polymorph in this dataset: 44.2 kJ per mole of atoms

---

Record 4
TbHo | PBE-GGA | optimized geometry

```
data_TbHo
_chemical_formula_sum 'Tb1 Ho1'
_space_group_name_H-M_alt 'P 1'
_space_group_IT_number 1
_cell_length_a 3.604
_cell_length_b 3.604
_cell_length_c 5.624
_cell_angle_alpha 90.00
_cell_angle_beta 90.00
_cell_angle_gamma 120.00
loop_
_space_group_symop_operation_xyz
'x,y,z'
loop_
_atom_site_label
_atom_site_type_symbol
_atom_site_fract_x
_atom_site_fract_y
_atom_site_fract_z
Tb1 Tb 0.000 0.000 0.000
Ho1 Ho 0.333 0.667 0.500
```

- DFT formation energy: 0.01 eV per atom
- Energy above the most stable polymorph in this dataset: 0.0 kJ per mole of atoms

---

Record 5
TbHo | PBE-GGA | optimized geometry

```
data_TbHo
_chemical_formula_sum 'Tb2 Ho2'
_space_group_name_H-M_alt 'P 1'
_space_group_IT_number 1
_cell_length_a 3.616
_cell_length_b 3.616
_cell_length_c 10.383
_cell_angle_alpha 90.00
_cell_angle_beta 90.00
_cell_angle_gamma 120.00
loop_
_space_group_symop_operation_xyz
'x,y,z'
loop_
_atom_site_label
_atom_site_type_symbol
_atom_site_fract_x
_atom_site_fract_y
_atom_site_fract_z
Tb1 Tb 0.333 0.667 0.250
Tb2 Tb 0.667 0.333 0.750
Ho1 Ho 0.000 0.000 0.000
Ho2 Ho 0.000 0.000 0.500
```

- DFT formation energy: 0.09 eV per atom
- Energy above the most stable polymorph in this dataset: 7.4 kJ per mole of atoms

---

Record 6
Tb2Ho | PBE-GGA | optimized geometry

```
data_Tb2Ho
_chemical_formula_sum 'Tb4 Ho2'
_space_group_name_H-M_alt 'P 1'
_space_group_IT_number 1
_cell_length_a 6.532
_cell_length_b 6.532
_cell_length_c 6.532
_cell_angle_alpha 60.00
_cell_angle_beta 60.00
_cell_angle_gamma 60.00
loop_
_space_group_symop_operation_xyz
'x,y,z'
loop_
_atom_site_label
_atom_site_type_symbol
_atom_site_fract_x
_atom_site_fract_y
_atom_site_fract_z
Tb1 Tb 0.000 0.000 0.000
Tb2 Tb 0.000 0.000 0.500
Tb3 Tb 0.000 0.500 0.000
Tb4 Tb 0.500 0.000 0.000
Ho1 Ho 0.375 0.375 0.375
Ho2 Ho 0.625 0.625 0.625
```

- DFT formation energy: 0.26 eV per atom
- Energy above the most stable polymorph in this dataset: 0.0 kJ per mole of atoms

---

Record 7
Tb2Ho | PBE-GGA | optimized geometry

```
data_Tb2Ho
_chemical_formula_sum 'Tb4 Ho2'
_space_group_name_H-M_alt 'P 1'
_space_group_IT_number 1
_cell_length_a 8.825
_cell_length_b 8.825
_cell_length_c 8.825
_cell_angle_alpha 60.00
_cell_angle_beta 60.00
_cell_angle_gamma 60.00
loop_
_space_group_symop_operation_xyz
'x,y,z'
loop_
_atom_site_label
_atom_site_type_symbol
_atom_site_fract_x
_atom_site_fract_y
_atom_site_fract_z
Tb1 Tb 0.000 0.000 0.000
Tb2 Tb 0.000 0.000 0.500
Tb3 Tb 0.000 0.500 0.000
Tb4 Tb 0.500 0.000 0.000
Ho1 Ho 0.125 0.125 0.125
Ho2 Ho 0.875 0.875 0.875
```

- DFT formation energy: 2.61 eV per atom
- Energy above the most stable polymorph in this dataset: 226.8 kJ per mole of atoms

---

Record 8
TbHo | PBE-GGA | optimized geometry

```
data_TbHo
_chemical_formula_sum 'Tb1 Ho1'
_space_group_name_H-M_alt 'P 1'
_space_group_IT_number 1
_cell_length_a 4.558
_cell_length_b 4.558
_cell_length_c 4.558
_cell_angle_alpha 60.00
_cell_angle_beta 60.00
_cell_angle_gamma 60.00
loop_
_space_group_symop_operation_xyz
'x,y,z'
loop_
_atom_site_label
_atom_site_type_symbol
_atom_site_fract_x
_atom_site_fract_y
_atom_site_fract_z
Tb1 Tb 0.000 0.000 0.000
Ho1 Ho 0.500 0.500 0.500
```

- DFT formation energy: 0.78 eV per atom
- Energy above the most stable polymorph in this dataset: 74.8 kJ per mole of atoms

---

Record 9
TbHo2Tc | PBE-GGA | optimized geometry

```
data_TbHo2Tc
_chemical_formula_sum 'Tb2 Ho4 Tc2'
_space_group_name_H-M_alt 'P 1'
_space_group_IT_number 1
_cell_length_a 6.255
_cell_length_b 6.255
_cell_length_c 9.134
_cell_angle_alpha 90.00
_cell_angle_beta 90.00
_cell_angle_gamma 143.72
loop_
_space_group_symop_operation_xyz
'x,y,z'
loop_
_atom_site_label
_atom_site_type_symbol
_atom_site_fract_x
_atom_site_fract_y
_atom_site_fract_z
Tb1 Tb 0.072 0.928 0.750
Tb2 Tb 0.928 0.072 0.250
Ho1 Ho 0.355 0.645 0.567
Ho2 Ho 0.355 0.645 0.933
Ho3 Ho 0.645 0.355 0.067
Ho4 Ho 0.645 0.355 0.433
Tc1 Tc 0.261 0.739 0.250
Tc2 Tc 0.739 0.261 0.750
```

- DFT formation energy: -0.11 eV per atom

---

Record 10
TbHoTe2 | PBE-GGA | optimized geometry

```
data_TbHoTe2
_chemical_formula_sum 'Tb1 Ho1 Te2'
_space_group_name_H-M_alt 'P 1'
_space_group_IT_number 1
_cell_length_a 4.346
_cell_length_b 4.346
_cell_length_c 6.153
_cell_angle_alpha 90.00
_cell_angle_beta 90.00
_cell_angle_gamma 90.00
loop_
_space_group_symop_operation_xyz
'x,y,z'
loop_
_atom_site_label
_atom_site_type_symbol
_atom_site_fract_x
_atom_site_fract_y
_atom_site_fract_z
Tb1 Tb 0.000 0.000 0.000
Ho1 Ho 0.500 0.500 0.500
Te1 Te 0.000 0.000 0.500
Te2 Te 0.500 0.500 0.000
```

- Energy above the most stable polymorph in this dataset: 2.0 kJ per mole of atoms

---

Record 11
TbHoTe2 | PBE-GGA | optimized geometry

```
data_TbHoTe2
_chemical_formula_sum 'Tb1 Ho1 Te2'
_space_group_name_H-M_alt 'P 1'
_space_group_IT_number 1
_cell_length_a 4.216
_cell_length_b 4.216
_cell_length_c 7.644
_cell_angle_alpha 90.00
_cell_angle_beta 90.00
_cell_angle_gamma 120.00
loop_
_space_group_symop_operation_xyz
'x,y,z'
loop_
_atom_site_label
_atom_site_type_symbol
_atom_site_fract_x
_atom_site_fract_y
_atom_site_fract_z
Tb1 Tb 0.000 0.000 0.000
Ho1 Ho 0.000 0.000 0.500
Te1 Te 0.333 0.667 0.254
Te2 Te 0.667 0.333 0.746
```

- Energy above the most stable polymorph in this dataset: 0.0 kJ per mole of atoms

---

Record 12
TbHo2Te3 | PBE-GGA | optimized geometry

```
data_TbHo2Te3
_chemical_formula_sum 'Tb1 Ho2 Te3'
_space_group_name_H-M_alt 'P 1'
_space_group_IT_number 1
_cell_length_a 4.338
_cell_length_b 4.338
_cell_length_c 10.647
_cell_angle_alpha 90.00
_cell_angle_beta 90.00
_cell_angle_gamma 120.00
loop_
_space_group_symop_operation_xyz
'x,y,z'
loop_
_atom_site_label
_atom_site_type_symbol
_atom_site_fract_x
_atom_site_fract_y
_atom_site_fract_z
Tb1 Tb 0.000 0.000 0.000
Ho1 Ho 0.333 0.667 0.666
Ho2 Ho 0.667 0.333 0.334
Te1 Te 0.000 0.000 0.500
Te2 Te 0.333 0.667 0.169
Te3 Te 0.667 0.333 0.831
```

- Energy: -30.81 eV/cell